A plane-wave DFT calculation with PBE was carried out for a geometry-optimized Cs2InCuH6 structure.

Results
Total energy in eV/atom: -2.831
Calculated volume in Å³ per cell: 161.0
Space-group type: I4/mmm
Total magnetic moment in Bohr magnetons per cell: 0.0

Geometry as POSCAR:
```
Cs2InCuH6
1.0
-2.8258 2.8258 5.0416
2.8258 -2.8258 5.0416
2.8258 2.8258 -5.0416
Cs In Cu H
2 1 1 6
Direct
0.2500 0.7500 0.5000 Cs
0.7500 0.2500 0.5000 Cs
0.0000 0.0000 0.0000 In
0.5000 0.5000 0.0000 Cu
0.1853 0.1853 0.0000 H
0.2785 0.2785 0.5571 H
0.2785 0.7215 0.0000 H
0.7215 0.2785 0.0000 H
0.7215 0.7215 0.4429 H
0.8147 0.8147 0.0000 H
```